Below is a relaxed BaCa2TlH crystal, with properties calculated at the PBE level.

Cell: 5.2079 5.2079 5.3567 Å, 90.00 90.00 90.00°
With the nearest neighbours (Å) after each atom.
Sites, in units of the cell vectors:
Ba 0.0000 0.0000 0.5000  2 H 2.68
Ca 0.5000 0.0000 0.0000  2 H 2.60
Ca 0.0000 0.5000 0.0000  2 H 2.60
Tl 0.5000 0.5000 0.5000  4 Ba 3.68, 8 Ca 3.74
H 0.0000 0.0000 0.0000  4 Ca 2.60, 2 Ba 2.68

Computed properties:
The total energy comes out at -2.614 eV per atom.



Below is a relaxed CePmCdHg crystal, with properties calculated at the PBE level.

Cell: 5.4139 5.4139 5.4139 Å, 60.00 60.00 60.00°
With the nearest neighbours (Å) after each atom.
Sites, in units of the cell vectors:
Hg 0.2500 0.2500 0.2500  4 Pm 3.32, 4 Ce 3.32
Ce 0.0000 0.0000 0.0000  4 Hg 3.32, 4 Cd 3.32
Cd 0.7500 0.7500 0.7500  4 Ce 3.32, 4 Pm 3.32
Pm 0.5000 0.5000 0.5000  4 Cd 3.32, 4 Hg 3.32

Computed properties:
The total energy comes out at -3.265 eV per atom. Its formation enthalpy at 0 K is -0.289 eV per atom.



Below is a relaxed TmSc5Ru4 crystal, with properties calculated at the PBE level.

Cell: 3.2371 3.2371 17.8947 Å, 90.00 90.00 90.00°
With the nearest neighbours (Å) after each atom.
Sites, in units of the cell vectors:
Sc 0.5000 0.5000 0.5000  8 Ru 2.80
Sc 0.5000 0.5000 0.3234  8 Ru 2.77-2.86
Sc 0.5000 0.5000 0.1478  4 Ru 2.69
Sc 0.5000 0.5000 0.6766  8 Ru 2.77-2.86
Sc 0.5000 0.5000 0.8522  4 Ru 2.69
Ru 0.0000 0.0000 0.2272  8 Sc 2.69-2.86
Ru 0.0000 0.0000 0.5899  8 Sc 2.77-2.80
Ru 0.0000 0.0000 0.4101  8 Sc 2.77-2.80
Ru 0.0000 0.0000 0.7728  8 Sc 2.69-2.86
Tm 0.0000 0.0000 0.0000  4 Tm 3.24, 8 Sc 3.50

Computed properties:
The total energy comes out at -7.785 eV per atom. Its formation enthalpy at 0 K is -0.462 eV per atom.



Below is a relaxed BaSn2Rh crystal, with properties calculated at the PBE level.

Cell: 5.7084 5.7084 9.4787 Å, 72.48 72.48 90.00°
With the nearest neighbours (Å) after each atom.
Sites, in units of the cell vectors:
Ba 0.0000 0.0000 0.0000  8 Sn 3.71-3.98, 4 Rh 4.04
Ba 0.7500 0.2500 0.5000  8 Sn 3.71-3.98, 4 Rh 4.04
Sn 0.4070 0.1250 0.2500  2 Rh 2.58, 2 Sn 2.88
Sn 0.3430 0.6250 0.2500  2 Rh 2.58, 2 Sn 2.88
Sn 0.8750 0.6570 0.7500  2 Rh 2.58, 2 Sn 2.88
Sn 0.3750 0.5930 0.7500  2 Rh 2.58, 2 Sn 2.88
Rh 0.2500 0.7500 0.5000  4 Sn 2.58
Rh 0.5000 0.5000 0.0000  4 Sn 2.58

Computed properties:
The total energy comes out at -4.627 eV per atom. Its formation enthalpy at 0 K is -0.307 eV per atom.



Below is a relaxed Sc2BeZn crystal, with properties calculated at the PBE level.

Cell: 3.2161 3.2369 7.4079 Å, 64.05 90.00 90.00°
With the nearest neighbours (Å) after each atom.
Sites, in units of the cell vectors:
Zn 0.5000 0.2500 0.2500  8 Sc 2.90, 4 Zn 3.22-3.24
Sc 0.0000 0.4811 0.5190  4 Be 2.75, 4 Zn 2.90, 1 Sc 3.08
Sc 0.0000 0.0189 0.9810  4 Be 2.75, 4 Zn 2.90, 1 Sc 3.08
Be 0.5000 0.7500 0.7500  8 Sc 2.75

Computed properties:
Its excess energy over the best structure of this formula in the dataset is 0.0 meV/atom. The total energy comes out at -4.626 eV per atom. Its formation enthalpy at 0 K is -0.210 eV per atom.



Below is a relaxed CaCd2Ge2 crystal, with properties calculated at the PBE level.

Cell: 7.6300 7.6300 4.0886 Å, 90.00 90.00 90.00°
With the nearest neighbours (Å) after each atom.
Sites, in units of the cell vectors:
Ca 0.0000 0.0000 0.0000  4 Ge 3.04
Ca 0.5000 0.5000 0.0000  4 Ge 3.04
Ge 0.3805 0.8805 0.0000  1 Ge 2.58
Ge 0.8805 0.6195 0.0000  1 Ge 2.58
Ge 0.6195 0.1195 0.0000  1 Ge 2.58
Ge 0.1195 0.3805 0.0000  1 Ge 2.58
Cd 0.8282 0.3282 0.5000  6 Ge 3.04-3.05
Cd 0.1718 0.6718 0.5000  6 Ge 3.04-3.05
Cd 0.6718 0.8282 0.5000  6 Ge 3.04-3.05
Cd 0.3282 0.1718 0.5000  6 Ge 3.04-3.05

Computed properties:
The total energy comes out at -2.698 eV per atom. Its formation enthalpy at 0 K is -0.085 eV per atom.